Record 1
Na2Zn4In | PBE-GGA | optimized geometry

```
Na2Zn4In
1.0
-2.6036 2.6036 7.7689
2.6036 -2.6036 7.7689
2.6036 2.6036 -7.7689
Na Zn In
2 4 1
Direct
0.1260 0.1260 0.0000
0.8740 0.8740 0.0000
0.0000 0.5000 0.5000
0.3141 0.3141 0.0000
0.5000 0.0000 0.5000
0.6859 0.6859 0.0000
0.5000 0.5000 0.0000
```

Calculated values
Magnetic moment (μB/cell): 0.00
E_tot (eV per formula unit): -8.20
Volume (Å³/cell): 210.65
Formation energy (eV per atom): 0.32

=====

Record 2
ErSi2Rh | PBE-GGA | optimized geometry

```
ErSi2Rh
1.0
2.9029 -5.0527 0.0000
2.9029 5.0527 0.0000
-2.8512 0.0000 4.7959
Er Si Rh
2 4 2
Direct
0.1230 0.8770 0.7500
0.8770 0.1230 0.2500
0.2993 0.5112 0.9085
0.4888 0.7007 0.5915
0.5112 0.2993 0.4085
0.7007 0.4888 0.0915
0.2193 0.7807 0.2500
0.7807 0.2193 0.7500
```

Calculated values
Magnetic moment (μB/cell): 0.00
E_tot (eV per formula unit): -26.43
ΔE_f (raw) (eV/atom): -0.9168
Volume (Å³/cell): 140.69

=====

Record 3
SrLaAs | PBE-GGA | optimized geometry

```
SrLaAs
1.0
-1.9328 1.9328 6.9706
1.9328 -1.9328 6.9706
1.9328 1.9328 -6.9706
Sr La As
1 1 1
Direct
0.0000 0.0000 0.0000
0.7541 0.7541 0.0000
0.3561 0.3561 0.0000
```

Calculated values
Magnetic moment (μB/cell): 0.00
E_tot (eV per formula unit): -13.65
Volume (Å³/cell): 104.16
Relative energy among the computed polymorphs (meV per atom): 68.4
Formation energy (eV per atom): -0.80

=====

Record 4
Sc2SbPd | PBE-GGA | optimized geometry

```
Sc2SbPd
1.0
1.5988 0.9231 10.0084
-1.5988 0.9231 10.0084
0.0000 -1.8461 10.0084
Sc Sb Pd
2 1 1
Direct
0.0830 0.0830 0.0830
0.9170 0.9170 0.9170
0.5000 0.5000 0.5000
0.0000 0.0000 0.0000
```

Calculated values
Magnetic moment (μB/cell): 0.01
E_tot (eV per formula unit): -22.51
ΔE_f (raw) (eV/atom): -0.1336
Volume (Å³/cell): 88.62

=====

Record 5
PuP2AuO8 | PBE-GGA | optimized geometry

```
PuP2AuO8
1.0
4.7147 -2.8206 0.0000
4.7147 2.8206 0.0000
-2.4074 0.0000 8.3921
Pu P Au O
1 2 1 8
Direct
0.0000 0.0000 0.0000
0.2933 0.2933 0.7945
0.7067 0.7067 0.2055
0.0000 0.0000 0.5000
0.1700 0.6163 0.8351
0.1844 0.1844 0.8998
0.2155 0.2155 0.6156
0.3837 0.8300 0.1649
0.6163 0.1700 0.8351
0.7845 0.7845 0.3844
0.8156 0.8156 0.1002
0.8300 0.3837 0.1649
```

Calculated values
Magnetic moment (μB/cell): 2.92
E_tot (eV per formula unit): -92.67
ΔE_f (raw) (eV/atom): -2.0481
Volume (Å³/cell): 223.20

=====

Record 6
Pm2DyEr | PBE-GGA | optimized geometry

```
Pm2DyEr
1.0
3.5909 0.0000 0.0000
0.0000 3.5909 0.0000
0.0000 0.0000 10.1200
Pm Dy Er
2 1 1
Direct
0.0000 0.0000 0.2489
0.0000 0.0000 0.7511
0.5000 0.5000 0.5000
0.5000 0.5000 0.0000
```

Calculated values
Magnetic moment (μB/cell): 0.00
E_tot (eV per formula unit): -18.59
Volume (Å³/cell): 130.49
Relative energy among the computed polymorphs (meV per atom): 5.5
Formation energy (eV per atom): 0.02